Entry 1:
The following is a PBE calculation of an optimized crystal structure of Dy4TmAg5, from the Open Quantum Materials Database.

Spin magnetization ... 0.00 μB/cell
Total DFT energy (no corrections) ... -40.37 eV/cell

a = 3.6070 Å, b = 3.6070 Å, c = 18.1175 Å
α = 90.00°, β = 90.00°, γ = 90.00°
Space group P4/mmm (No. 123)
Symmetry-distinct sites (fractional):
Dy1 0.0000 0.0000 0.1005 x2
Dy2 0.0000 0.0000 0.3018 x2
Tm1 0.0000 0.0000 0.5000 x1
Ag1 0.5000 0.5000 0.0000 x1
Ag2 0.5000 0.5000 0.2011 x2
Ag3 0.5000 0.5000 0.4033 x2

Entry 2:
The following is a PBE calculation of an optimized crystal structure of LaTbPO, from the Open Quantum Materials Database.

Spin magnetization ... 0.01 μB/cell
Energy above the most stable polymorph in this dataset ... 0.036 eV/atom

a = 4.4265 Å, b = 4.4265 Å, c = 9.0434 Å
α = 90.00°, β = 90.00°, γ = 90.00°
Space group P4/nmm (No. 129, origin choice 2)
Symmetry-distinct sites (fractional):
La1 0.2500 0.2500 0.1136 x2
Tb1 0.2500 0.7500 0.5000 x2
P1 0.2500 0.2500 0.6854 x2
O1 0.2500 0.7500 0.0000 x2